Record 1
Cs3SiPt | SCAN | single point on PBEsol structure

The calculation puts the density of states at the Fermi level at 0.230 states/eV per cell. The value obtained for the total magnetic moment is 3.0 μB per formula unit. The calculation puts the volume at 260.08 Å³/f.u. As for the total energy: -38.354 eV/atom. For the offset from the most stable computed form, the calculation gives 0.0 meV/atom. The value obtained for the raw formation energy is 0.374 eV/atom.

Cell: 6.383 6.383 6.383 Å, 90.00 90.00 90.00°
Space group Pm-3m (No. 221)
Inequivalent atoms, fractional coordinates:
Cs 0.000 0.000 0.500
Si 0.500 0.500 0.500
Pt 0.000 0.000 0.000

***

Record 2
Sr2TlCd2 | SCAN | single point on PBEsol structure

The formation energy comes out at -35.3 kJ per mole of atoms. The calculation puts the density of states at the Fermi level at 6.606 states/eV per cell. The value obtained for the total magnetic moment is 0.0 μB per formula unit. The calculation puts the volume at 154.36 Å³/f.u. As for the total energy: -35.913 eV/atom.

Cell: 8.324 8.324 4.455 Å, 90.00 90.00 90.00°
Space group P4/mbm (No. 127)
Inequivalent atoms, fractional coordinates:
Sr 0.179 0.321 0.000
Tl 0.000 0.000 0.500
Cd 0.121 0.621 0.500